Record 1
Density functional theory data (PBE) for an optimized crystal structure of HfZr2Pa6.

* volume: 216.8 Å³/cell
* E: -9.253 eV per atom
* formation enthalpy at 0 K: 0.083 eV/atom

```
HfZr2Pa6
1.0
4.198 -8.162 0.000
4.198 8.162 0.000
-0.550 0.000 3.163
Hf Zr Pa
1 2 6
Direct
0.000 0.000 0.000 Hf
0.162 0.838 0.500 Zr
0.838 0.162 0.500 Zr
0.173 0.505 0.169 Pa
0.334 0.334 0.679 Pa
0.495 0.827 0.831 Pa
0.505 0.173 0.169 Pa
0.666 0.666 0.321 Pa
0.827 0.495 0.831 Pa
```

---

Record 2
Density functional theory data (PBE) for an optimized crystal structure of VCdSb2.

* volume: 95.5 Å³/cell
* energy relative to the elements, uncorrected: 77 meV per atom
* E: -4.492 eV per atom

```
VCdSb2
1.0
1.620 0.935 10.512
-1.620 0.935 10.512
0.000 -1.870 10.512
V Cd Sb
1 1 2
Direct
0.000 0.000 0.000 V
0.500 0.500 0.500 Cd
0.397 0.397 0.397 Sb
0.603 0.603 0.603 Sb
```

---

Record 3
Density functional theory data (PBE) for an optimized crystal structure of SmDy2Tl3.

* volume: 167.2 Å³/cell
* E: -3.861 eV per atom
* formation enthalpy at 0 K: -0.357 eV/atom

```
SmDy2Tl3
1.0
3.701 0.000 0.000
0.000 3.701 0.000
0.000 0.000 12.203
Sm Dy Tl
1 2 3
Direct
0.000 0.000 0.000 Sm
0.000 0.000 0.336 Dy
0.000 0.000 0.664 Dy
0.500 0.500 0.172 Tl
0.500 0.500 0.500 Tl
0.500 0.500 0.828 Tl
```

---

Record 4
Density functional theory data (PBE) for an optimized crystal structure of DyAl4Tl.

* volume: 124.9 Å³/cell
* E: -3.786 eV per atom
* formation enthalpy at 0 K: -0.130 eV/atom

```
DyAl4Tl
1.0
0.000 3.967 3.967
3.967 0.000 3.967
3.967 3.967 0.000
Dy Al Tl
1 4 1
Direct
0.000 0.000 0.000 Dy
0.123 0.626 0.626 Al
0.626 0.123 0.626 Al
0.626 0.626 0.123 Al
0.626 0.626 0.626 Al
0.250 0.250 0.250 Tl
```

---

Record 5
Density functional theory data (PBE) for an optimized crystal structure of Sr3AcAg4.

* volume: 242.7 Å³/cell
* E: -2.830 eV per atom
* formation enthalpy at 0 K: -0.260 eV/atom

```
Sr3AcAg4
1.0
-3.930 3.930 3.930
3.930 -3.930 3.930
3.930 3.930 -3.930
Sr Ac Ag
3 1 4
Direct
0.000 0.500 0.500 Sr
0.500 0.000 0.500 Sr
0.500 0.500 0.000 Sr
0.000 0.000 0.000 Ac
0.000 0.000 0.500 Ag
0.000 0.500 0.000 Ag
0.500 0.000 0.000 Ag
0.500 0.500 0.500 Ag
```

---

Record 6
Density functional theory data (PBE) for an optimized crystal structure of ZrTl2Co.

* volume: 81.7 Å³/cell
* E: -4.827 eV per atom
* formation enthalpy at 0 K: 0.270 eV/atom

```
ZrTl2Co
1.0
4.352 0.000 0.000
0.000 4.352 0.000
0.000 0.000 4.314
Zr Tl Co
1 2 1
Direct
0.000 0.000 0.000 Zr
0.000 0.500 0.500 Tl
0.500 0.000 0.500 Tl
0.500 0.500 0.000 Co
```

---

Record 7
Density functional theory data (PBE) for an optimized crystal structure of LaPr2Tm7.

* volume: 388.3 Å³/cell
* E: -3.893 eV per atom
* formation enthalpy at 0 K: 0.685 eV/atom

```
LaPr2Tm7
1.0
4.281 -8.451 0.000
4.281 8.451 0.000
0.000 0.000 5.366
La Pr Tm
1 2 7
Direct
0.000 0.000 0.000 La
0.298 0.702 0.500 Pr
0.702 0.298 0.500 Pr
0.066 0.288 0.500 Tm
0.205 0.795 0.000 Tm
0.288 0.066 0.500 Tm
0.500 0.500 0.500 Tm
0.712 0.934 0.500 Tm
0.795 0.205 0.000 Tm
0.934 0.712 0.500 Tm
```

---

Record 8
Density functional theory data (PBE) for an optimized crystal structure of Ac8NiRh3Br4.

* volume: 540.8 Å³/cell
* energy relative to the elements, uncorrected: -1088 meV per atom
* E: -5.300 eV per atom

```
Ac8NiRh3Br4
1.0
4.337 2.504 8.298
-4.337 2.504 8.298
0.000 -5.008 8.298
Ac Ni Rh Br
8 1 3 4
Direct
0.232 0.232 0.232 Ac
0.233 0.730 0.730 Ac
0.270 0.270 0.767 Ac
0.270 0.767 0.270 Ac
0.730 0.233 0.730 Ac
0.730 0.730 0.233 Ac
0.767 0.270 0.270 Ac
0.768 0.768 0.768 Ac
0.500 0.500 0.500 Ni
0.000 0.000 0.500 Rh
0.000 0.500 0.000 Rh
0.500 0.000 0.000 Rh
0.000 0.000 0.000 Br
0.000 0.500 0.500 Br
0.500 0.000 0.500 Br
0.500 0.500 0.000 Br
```

---

Record 9
Density functional theory data (PBE) for an optimized crystal structure of MgAsO2.

* volume: 47.0 Å³/cell
* energy relative to the elements, uncorrected: -1610 meV per atom
* E: -5.650 eV per atom

```
MgAsO2
1.0
1.511 0.872 5.950
-1.511 0.872 5.950
0.000 -1.745 5.950
Mg As O
1 1 2
Direct
0.000 0.000 0.000 Mg
0.500 0.500 0.500 As
0.395 0.395 0.395 O
0.605 0.605 0.605 O
```